# 1
# PBE Cs2NaAgCl, relaxed
# - Size of the total moment: 0.000 Bohr magnetons per cell
# - D(E_F): 2.76 states/eV/cell
# - Total DFT energy (no corrections): -2.144 eV per atom
data_Cs2NaAgCl
_cell_length_a 6.798
_cell_length_b 6.798
_cell_length_c 5.434
_cell_angle_alpha 90.00
_cell_angle_beta 90.00
_cell_angle_gamma 90.00
_symmetry_space_group_name_H-M 'P 4/m m m'
_symmetry_Int_Tables_number 123
_symmetry_space_group_name_Hall '-P 4 2'
loop_
_atom_site_label
_atom_site_type_symbol
_atom_site_fract_x
_atom_site_fract_y
_atom_site_fract_z
_atom_site_occupancy
Cs1 Cs 0.000 0.500 0.000 1
Na1 Na 0.000 0.000 0.500 1
Ag1 Ag 0.500 0.500 0.500 1
Cl1 Cl 0.000 0.000 0.000 1

=====

# 2
# PBE Ac3PmPr3, relaxed
# - Size of the total moment: 0.000 Bohr magnetons per cell
# - D(E_F): 25.23 states/eV/cell
# - Energy relative to the elements: 1.020 kcal/mol of atoms
# - Total DFT energy (no corrections): -4.444 eV per atom
data_Ac3PmPr3
_cell_length_a 10.2263
_cell_length_b 10.2263
_cell_length_c 6.1815
_cell_angle_alpha 90.00
_cell_angle_beta 90.00
_cell_angle_gamma 120.00
_symmetry_space_group_name_H-M 'P 63/m'
_symmetry_Int_Tables_number 176
_symmetry_space_group_name_Hall '-P 6c'
loop_
_atom_site_label
_atom_site_type_symbol
_atom_site_fract_x
_atom_site_fract_y
_atom_site_fract_z
_atom_site_occupancy
Ac1 Ac 0.0943 0.6268 0.2500 1
Pm1 Pm 0.3333 0.6667 0.7500 1
Pr1 Pr 0.0460 0.8137 0.7500 1

=====

# 3
# PBE SrAgP2, relaxed
# - Size of the total moment: 0.000 Bohr magnetons per cell
# - D(E_F): 2.14 states/eV/cell
# - Energy relative to the elements: -0.220 kcal/mol of atoms
# - Total DFT energy (no corrections): -3.848 eV per atom
data_SrAgP2
_cell_length_a 3.475
_cell_length_b 3.475
_cell_length_c 7.083
_cell_angle_alpha 90.00
_cell_angle_beta 90.00
_cell_angle_gamma 90.00
_symmetry_space_group_name_H-M 'P 4 m m'
_symmetry_Int_Tables_number 99
loop_
_symmetry_equiv_pos_as_xyz
'x,y,z'
'-y,x,z'
'-x,-y,z'
'y,-x,z'
'-x,y,z'
'y,x,z'
'x,-y,z'
'-y,-x,z'
loop_
_atom_site_label
_atom_site_type_symbol
_atom_site_fract_x
_atom_site_fract_y
_atom_site_fract_z
_atom_site_occupancy
Sr1 Sr 0.000 0.000 0.000 1
Ag1 Ag 0.500 0.500 0.310 1
P1 P 0.000 0.000 0.579 1
P2 P 0.500 0.500 0.680 1

=====

# 4
# PBE Ca2SbCl, relaxed
# - Size of the total moment: 0.000 Bohr magnetons per cell
# - Total DFT energy (no corrections): -3.866 eV per atom
data_Ca2SbCl
_cell_length_a 4.4602
_cell_length_b 4.4602
_cell_length_c 22.6439
_cell_angle_alpha 90.00
_cell_angle_beta 90.00
_cell_angle_gamma 120.00
_symmetry_space_group_name_H-M 'R 3 m'
_symmetry_Int_Tables_number 160
_symmetry_space_group_name_Hall 'R 3 -2"'
loop_
_atom_site_label
_atom_site_type_symbol
_atom_site_fract_x
_atom_site_fract_y
_atom_site_fract_z
_atom_site_occupancy
Ca1 Ca 0.0000 0.0000 0.0000 1
Ca2 Ca 0.0000 0.0000 0.1876 1
Sb1 Sb 0.0000 0.0000 0.5920 1
Cl1 Cl 0.0000 0.0000 0.4137 1

=====

# 5
# PBE Tb3Ni8Pd, relaxed
# - Size of the total moment: 0.004 Bohr magnetons per cell
# - D(E_F): 43.12 states/eV/cell
# - Energy relative to the elements: -9.670 kcal/mol of atoms
# - Total DFT energy (no corrections): -5.864 eV per atom
# - Energy above the lowest structure with this stoichiometry: 0.0000 eV/atom
data_Tb3Ni8Pd
_cell_length_a 4.9961
_cell_length_b 4.9961
_cell_length_c 24.5440
_cell_angle_alpha 90.00
_cell_angle_beta 90.00
_cell_angle_gamma 120.00
_symmetry_space_group_name_H-M 'R 3 m'
_symmetry_Int_Tables_number 160
_symmetry_space_group_name_Hall 'R 3 -2"'
loop_
_atom_site_label
_atom_site_type_symbol
_atom_site_fract_x
_atom_site_fract_y
_atom_site_fract_z
_atom_site_occupancy
Tb1 Tb 0.0000 0.0000 0.0000 1
Tb2 Tb 0.0000 0.0000 0.1307 1
Tb3 Tb 0.0000 0.0000 0.6119 1
Ni1 Ni 0.0000 0.0000 0.3104 1
Ni2 Ni 0.0000 0.0000 0.8102 1
Ni3 Ni 0.0009 0.5004 0.0610 1
Ni4 Ni 0.0036 0.5018 0.5604 1
Pd1 Pd 0.0000 0.0000 0.4927 1

=====

# 6
# PBE CuHCl2, relaxed
# - Size of the total moment: 0.131 Bohr magnetons per cell
# - D(E_F): 9.44 states/eV/cell
# - Total DFT energy (no corrections): -2.231 eV per atom
# - Energy above the lowest structure with this stoichiometry: 1.0042 eV/atom
data_CuHCl2
_cell_length_a 6.237
_cell_length_b 6.237
_cell_length_c 6.237
_cell_angle_alpha 90.00
_cell_angle_beta 90.00
_cell_angle_gamma 90.00
_symmetry_space_group_name_H-M 'F m -3 m'
_symmetry_Int_Tables_number 225
_symmetry_space_group_name_Hall '-F 4 2 3'
loop_
_atom_site_label
_atom_site_type_symbol
_atom_site_fract_x
_atom_site_fract_y
_atom_site_fract_z
_atom_site_occupancy
Cu1 Cu 0.000 0.000 0.000 1
H1 H 0.000 0.000 0.500 1
Cl1 Cl 0.250 0.250 0.250 1

=====

# 7
# PBE In8SnPb3, relaxed
# - Size of the total moment: 0.000 Bohr magnetons per cell
# - D(E_F): 13.32 states/eV/cell
# - Energy relative to the elements: 3.665 kcal/mol of atoms
# - Total DFT energy (no corrections): -2.927 eV per atom
data_In8SnPb3
_cell_length_a 8.266
_cell_length_b 8.672
_cell_length_c 11.169
_cell_angle_alpha 90.00
_cell_angle_beta 90.00
_cell_angle_gamma 90.00
_symmetry_space_group_name_H-M 'I 2 2 2'
_symmetry_Int_Tables_number 23
loop_
_symmetry_equiv_pos_as_xyz
'x,y,z'
'-x,-y,z'
'x,-y,-z'
'-x,y,-z'
'x+1/2,y+1/2,z+1/2'
'-x+1/2,-y+1/2,z+1/2'
'x+1/2,-y+1/2,-z+1/2'
'-x+1/2,y+1/2,-z+1/2'
loop_
_atom_site_label
_atom_site_type_symbol
_atom_site_fract_x
_atom_site_fract_y
_atom_site_fract_z
_atom_site_occupancy
In1 In 0.133 0.144 0.243 1
In2 In 0.189 0.315 0.493 1
Sn1 Sn 0.000 0.000 0.000 1
Pb1 Pb 0.000 0.000 0.500 1
Pb2 Pb 0.000 0.500 0.263 1

=====

# 8
# PBE Ta3PtRh, relaxed
# - Size of the total moment: 0.000 Bohr magnetons per cell
# - D(E_F): 5.64 states/eV/cell
# - Energy relative to the elements: 30.033 kcal/mol of atoms
# - Total DFT energy (no corrections): -8.488 eV per atom
# - Energy above the lowest structure with this stoichiometry: 0.2600 eV/atom
data_Ta3PtRh
_cell_length_a 4.822
_cell_length_b 4.822
_cell_length_c 4.822
_cell_angle_alpha 90.00
_cell_angle_beta 90.00
_cell_angle_gamma 90.00
_symmetry_space_group_name_H-M 'P m -3 m'
_symmetry_Int_Tables_number 221
_symmetry_space_group_name_Hall '-P 4 2 3'
loop_
_atom_site_label
_atom_site_type_symbol
_atom_site_fract_x
_atom_site_fract_y
_atom_site_fract_z
_atom_site_occupancy
Ta1 Ta 0.000 0.000 0.500 1
Pt1 Pt 0.000 0.000 0.000 1
Rh1 Rh 0.500 0.500 0.500 1

=====

# 9
# PBE RbBaLiPb, relaxed
# - Size of the total moment: 0.000 Bohr magnetons per cell
# - D(E_F): 1.18 states/eV/cell
# - Energy relative to the elements: -4.816 kcal/mol of atoms
# - Total DFT energy (no corrections): -2.337 eV per atom
data_RbBaLiPb
_cell_length_a 8.323
_cell_length_b 8.323
_cell_length_c 8.323
_cell_angle_alpha 90.00
_cell_angle_beta 90.00
_cell_angle_gamma 90.00
_symmetry_space_group_name_H-M 'F -4 3 m'
_symmetry_Int_Tables_number 216
_symmetry_space_group_name_Hall 'F -4 2 3'
loop_
_atom_site_label
_atom_site_type_symbol
_atom_site_fract_x
_atom_site_fract_y
_atom_site_fract_z
_atom_site_occupancy
Rb1 Rb 0.000 0.000 0.000 1
Ba1 Ba 0.250 0.250 0.750 1
Li1 Li 0.250 0.250 0.250 1
Pb1 Pb 0.000 0.000 0.500 1

=====

# 10
# PBE BaInTeCl, relaxed
# - Size of the total moment: 0.000 Bohr magnetons per cell
# - Total DFT energy (no corrections): -3.697 eV per atom
data_BaInTeCl
_cell_length_a 8.134
_cell_length_b 8.134
_cell_length_c 8.134
_cell_angle_alpha 90.00
_cell_angle_beta 90.00
_cell_angle_gamma 90.00
_symmetry_space_group_name_H-M 'F -4 3 m'
_symmetry_Int_Tables_number 216
_symmetry_space_group_name_Hall 'F -4 2 3'
loop_
_atom_site_label
_atom_site_type_symbol
_atom_site_fract_x
_atom_site_fract_y
_atom_site_fract_z
_atom_site_occupancy
Ba1 Ba 0.000 0.000 0.000 1
In1 In 0.000 0.000 0.500 1
Te1 Te 0.250 0.250 0.250 1
Cl1 Cl 0.250 0.250 0.750 1

=====

# 11
# PBE Ag2Ge2I, relaxed
# - Size of the total moment: 0.000 Bohr magnetons per cell
# - D(E_F): 9.33 states/eV/cell
# - Total DFT energy (no corrections): -2.984 eV per atom
# - Energy above the lowest structure with this stoichiometry: 0.0852 eV/atom
data_Ag2Ge2I
_cell_length_a 4.564
_cell_length_b 4.564
_cell_length_c 11.205
_cell_angle_alpha 90.00
_cell_angle_beta 90.00
_cell_angle_gamma 90.00
_symmetry_space_group_name_H-M 'I 4/m m m'
_symmetry_Int_Tables_number 139
_symmetry_space_group_name_Hall '-I 4 2'
loop_
_atom_site_label
_atom_site_type_symbol
_atom_site_fract_x
_atom_site_fract_y
_atom_site_fract_z
_atom_site_occupancy
Ag1 Ag 0.000 0.500 0.250 1
Ge1 Ge 0.000 0.000 0.119 1
I1 I 0.000 0.000 0.500 1

=====

# 12
# PBE Cr3Se5, relaxed
# - Size of the total moment: 31.925 Bohr magnetons per cell
# - D(E_F): 14.29 states/eV/cell
# - Total DFT energy (no corrections): -5.946 eV per atom
# - Energy above the lowest structure with this stoichiometry: 0.0000 eV/atom
data_Cr3Se5
_cell_length_a 9.748
_cell_length_b 9.748
_cell_length_c 6.512
_cell_angle_alpha 90.00
_cell_angle_beta 90.00
_cell_angle_gamma 90.00
_symmetry_space_group_name_H-M 'I 4/m c m'
_symmetry_Int_Tables_number 140
_symmetry_space_group_name_Hall '-I 4 2c'
loop_
_atom_site_label
_atom_site_type_symbol
_atom_site_fract_x
_atom_site_fract_y
_atom_site_fract_z
_atom_site_occupancy
Cr1 Cr 0.000 0.000 0.250 1
Cr2 Cr 0.145 0.355 0.000 1
Se1 Se 0.000 0.500 0.250 1
Se2 Se 0.077 0.193 0.500 1